(1)
# TaRe3Mo | Alexandria | SCAN | single point on PBEsol structure
# E ... -302.44 eV per cell
# Total magnetization ... 1.0 μB per formula unit
# Space group ... No. 221
# Formation enthalpy at 0 K ... 2.46 eV per atom
data_TaRe3Mo
_chemical_formula_sum 'Ta1 Re3 Mo1'
_space_group_name_H-M_alt 'P 1'
_space_group_IT_number 1
_cell_length_a 4.625
_cell_length_b 4.625
_cell_length_c 4.625
_cell_angle_alpha 90.00
_cell_angle_beta 90.00
_cell_angle_gamma 90.00
loop_
_space_group_symop_operation_xyz
'x,y,z'
loop_
_atom_site_label
_atom_site_type_symbol
_atom_site_fract_x
_atom_site_fract_y
_atom_site_fract_z
Re1 Re 0.500 0.000 0.000
Re2 Re 0.000 0.000 0.500
Re3 Re 0.000 0.500 0.000
Ta1 Ta 0.000 0.000 0.000
Mo1 Mo 0.500 0.500 0.500

***

(2)
# LiZnRh2 | Alexandria | SCAN | single point on PBEsol structure
# E ... -84.32 eV per cell
# Total magnetization ... 0.1 μB per formula unit
# Space group ... No. 10
# Formation enthalpy at 0 K ... -0.22 eV per atom
data_LiZnRh2
_chemical_formula_sum 'Li1 Zn1 Rh2'
_space_group_name_H-M_alt 'P 1'
_space_group_IT_number 1
_cell_length_a 2.630
_cell_length_b 4.161
_cell_length_c 4.788
_cell_angle_alpha 90.00
_cell_angle_beta 94.21
_cell_angle_gamma 90.00
loop_
_space_group_symop_operation_xyz
'x,y,z'
loop_
_atom_site_label
_atom_site_type_symbol
_atom_site_fract_x
_atom_site_fract_y
_atom_site_fract_z
Rh1 Rh 0.235 0.000 0.259
Rh2 Rh 0.765 0.000 0.741
Zn1 Zn 0.500 0.500 0.000
Li1 Li 0.000 0.500 0.500

***

(3)
# CuP2Ir | Alexandria | SCAN | single point on PBEsol structure
# Energy above the lowest structure with this stoichiometry ... 0.94 eV/f.u.
# E ... -106.92 eV per cell
# Total magnetization ... 0.0 μB per formula unit
# Space group ... No. 12
# Formation enthalpy at 0 K ... 0.04 eV per atom
data_CuP2Ir
_chemical_formula_sum 'Cu1 P2 Ir1'
_space_group_name_H-M_alt 'P 1'
_space_group_IT_number 1
_cell_length_a 2.883
_cell_length_b 3.897
_cell_length_c 5.217
_cell_angle_alpha 100.83
_cell_angle_beta 90.00
_cell_angle_gamma 111.71
loop_
_space_group_symop_operation_xyz
'x,y,z'
loop_
_atom_site_label
_atom_site_type_symbol
_atom_site_fract_x
_atom_site_fract_y
_atom_site_fract_z
P1 P 0.243 0.486 0.250
P2 P 0.757 0.514 0.750
Cu1 Cu 0.000 0.000 0.500
Ir1 Ir 0.500 0.000 0.000